# 1
# Ba3LiIr PBEsol relaxed
# Density of states at the Fermi level: 4.49 states/eV/f.u.
# Formation energy from the elements: 0.0059 eV/atom
data_Ba3LiIr
_chemical_formula_sum 'Ba3 Li1 Ir1'
_symmetry_space_group_name_H-M 'P m -3 m'
_symmetry_Int_Tables_number 221
_symmetry_space_group_name_Hall '-P 4 2 3'
_cell_length_a 6.0685
_cell_length_b 6.0685
_cell_length_c 6.0685
_cell_angle_alpha 90.00
_cell_angle_beta 90.00
_cell_angle_gamma 90.00
loop_
_atom_site_label
_atom_site_fract_x
_atom_site_fract_y
_atom_site_fract_z
Ba1 0.0000 0.0000 0.5000
Li1 0.5000 0.5000 0.5000
Ir1 0.0000 0.0000 0.0000

---

# 2
# ZnFe2 PBEsol relaxed
# Density of states at the Fermi level: 1.55 states/eV/f.u.
# Formation energy from the elements: 0.0965 eV/atom
data_ZnFe2
_chemical_formula_sum 'Zn3 Fe6'
_symmetry_space_group_name_H-M 'P -6 2 m'
_symmetry_Int_Tables_number 189
_symmetry_space_group_name_Hall 'P -6 -2'
_cell_length_a 7.0415
_cell_length_b 7.0415
_cell_length_c 2.4345
_cell_angle_alpha 90.00
_cell_angle_beta 90.00
_cell_angle_gamma 120.00
loop_
_atom_site_label
_atom_site_fract_x
_atom_site_fract_y
_atom_site_fract_z
Zn1 0.0000 0.0000 0.0000
Zn2 0.3333 0.6667 0.5000
Fe1 0.0000 0.3530 0.0000
Fe2 0.0000 0.6877 0.5000

---

# 3
# TaRu2W PBEsol relaxed
# ΔE to the lowest computed polymorph: 83 meV/atom
# Density of states at the Fermi level: 5.39 states/eV/f.u.
# Formation energy from the elements: 0.0399 eV/atom
data_TaRu2W
_chemical_formula_sum 'Ta1 Ru2 W1'
_symmetry_space_group_name_H-M 'P 4/m m m'
_symmetry_Int_Tables_number 123
_symmetry_space_group_name_Hall '-P 4 2'
_cell_length_a 4.5594
_cell_length_b 4.5594
_cell_length_c 2.8992
_cell_angle_alpha 90.00
_cell_angle_beta 90.00
_cell_angle_gamma 90.00
loop_
_atom_site_label
_atom_site_fract_x
_atom_site_fract_y
_atom_site_fract_z
Ta1 0.0000 0.0000 0.0000
Ru1 0.0000 0.5000 0.5000
W1 0.5000 0.5000 0.0000

---

no.,VASP energy (eV/atom)
1,-3.641
2,-6.406
3,-11.636